Density functional theory data (SCAN) for a PBEsol-optimized structure of Li4Mn3Ni3O12.

Cell lengths 5.719, 5.841, 6.400 Å; angles 104.43, 102.18, 91.76 degrees
Space group P-1 (No. 2)
One atom of each set of equivalent atoms:
Li1 0.000 0.000 0.000 x1
Li2 0.178 0.659 0.655 x2
Li3 0.500 0.000 0.000 x1
Mn1 0.165 0.173 0.660 x2
Mn2 0.500 0.500 0.000 x1
Ni1 0.000 0.500 0.000 x1
Ni2 0.337 0.832 0.336 x2
O1 0.066 0.071 0.345 x2
O2 0.077 0.619 0.330 x2
O3 0.254 0.257 0.975 x2
O4 0.274 0.735 0.022 x2
O5 0.401 0.951 0.648 x2
O6 0.403 0.413 0.688 x2

Computed properties:
Formation energy (no corrections) in eV per atom: -1.9332

---

Density functional theory data (SCAN) for a PBEsol-optimized structure of CoReAs2.

Cell lengths 3.605, 3.605, 8.613 Å; angles 90.00, 90.00, 90.00 degrees
Space group I-4m2 (No. 119)
One atom of each set of equivalent atoms:
Co1 0.000 0.000 0.000 x2
Re1 0.000 0.500 0.250 x2
As1 0.000 0.000 0.500 x2
As2 0.000 0.500 0.750 x2

Computed properties:
Energy relative to the lowest polymorph listed for this composition in kJ per mole of atoms: 32.8
Calculated formation energy in meV per atom: 545

---

Density functional theory data (SCAN) for a PBEsol-optimized structure of Cd2AgHg.

Cell lengths 6.779, 6.779, 6.779 Å; angles 90.00, 90.00, 90.00 degrees
Space group F-43m (No. 216)
One atom of each set of equivalent atoms:
Cd1 0.000 0.000 0.000 x4
Cd2 0.250 0.250 0.250 x4
Ag1 0.250 0.250 0.750 x4
Hg1 0.000 0.000 0.500 x4

Computed properties:
Calculated formation energy in meV per atom: 43

---

Density functional theory data (SCAN) for a PBEsol-optimized structure of CaMn2Au.

Cell lengths 3.1042, 3.1042, 27.6994 Å; angles 90.00, 90.00, 120.00 degrees
Space group R-3m (No. 166, hexagonal axes)
One atom of each set of equivalent atoms:
Ca1 0.0000 0.0000 0.0000 x3
Mn1 0.0000 0.0000 0.2396 x6
Au1 0.0000 0.0000 0.5000 x3

Computed properties:
Calculated formation energy in meV per atom: 174